VASP calculation (PBE) on crystalline Na4Ce3PmS8 at its relaxed geometry.

Values from the calculation:
The calculation puts the uncorrected formation energy at -1.75 eV per atom. Its density is 3.85 g cm⁻³. The value obtained for the volume is 394 Å³/cell. Its total magnetization is 3.019 μB per formula unit.

Cell lengths 8.1955, 8.1955, 8.1955 Å; angles 60.51, 60.51, 60.51 degrees
Fractional positions:
Na1 0.0000 0.0000 0.0000
Na2 0.0000 0.5000 0.5000
Na3 0.5000 0.0000 0.5000
Na4 0.5000 0.5000 0.0000
Ce1 0.0000 0.0000 0.5000
Ce2 0.0000 0.5000 0.0000
Ce3 0.5000 0.0000 0.0000
Pm1 0.5000 0.5000 0.5000
S1 0.2442 0.2442 0.2442
S2 0.2450 0.7438 0.7438
S3 0.2562 0.2562 0.7550
S4 0.2562 0.7550 0.2562
S5 0.7438 0.2450 0.7438
S6 0.7438 0.7438 0.2450
S7 0.7550 0.2562 0.2562
S8 0.7558 0.7558 0.7558

***

VASP calculation (PBE) on crystalline CoOsRh2 at its relaxed geometry.

Values from the calculation:
The calculation puts the offset from the most stable computed form at 0.4148 eV per atom. Its density is 13.78 g cm⁻³. The value obtained for the volume is 55 Å³/cell. Its total magnetization is 0.000 μB per formula unit. The formation energy comes out at 191 kJ/mol of formula units.

Cell lengths 4.2639, 4.2639, 4.2639 Å; angles 60.00, 60.00, 60.00 degrees
Fractional positions:
Co1 0.0000 0.0000 0.0000
Os1 0.5000 0.5000 0.5000
Rh1 0.2500 0.2500 0.2500
Rh2 0.7500 0.7500 0.7500